First-principles (PBE-GGA) data for a relaxed structure of KAcZnAu, as listed in the Alexandria database.

```
data_KAcZnAu
_cell_length_a 5.5038
_cell_length_b 5.5038
_cell_length_c 5.5038
_cell_angle_alpha 60.00
_cell_angle_beta 60.00
_cell_angle_gamma 60.00
_space_group_name_H-M_alt 'P 1'
_space_group_IT_number 1
_space_group_name_Hall 'P 1'
loop_
_atom_site_label
_atom_site_fract_x
_atom_site_fract_y
_atom_site_fract_z
K1 0.5000 0.5000 0.5000
Ac1 0.0000 0.0000 0.0000
Zn1 0.7500 0.7500 0.7500
Au1 0.2500 0.2500 0.2500
```

Computed properties:
magnetization	0.00	μB per atom
Fermi-level density of states	0.9160	states/eV/atom
space-group type	F-43m
ΔE_f	-0.192	eV per atom

First-principles (PBE-GGA) data for a relaxed structure of Ac5LaAu6, as listed in the Alexandria database.

```
data_Ac5LaAu6
_cell_length_a 5.5245
_cell_length_b 7.7293
_cell_length_c 9.5495
_cell_angle_alpha 66.13
_cell_angle_beta 73.07
_cell_angle_gamma 90.00
_space_group_name_H-M_alt 'P 1'
_space_group_IT_number 1
_space_group_name_Hall 'P 1'
loop_
_atom_site_label
_atom_site_fract_x
_atom_site_fract_y
_atom_site_fract_z
Au1 0.5000 0.2421 0.0000
Au2 0.1633 0.4089 0.6732
Au3 0.1634 0.9179 0.6732
Au4 0.8367 0.5911 0.3268
Au5 0.5000 0.7579 0.0000
Au6 0.8366 0.0821 0.3268
Ac1 0.0000 0.5000 0.0000
Ac2 0.3340 0.3339 0.3322
Ac3 0.6660 0.6661 0.6678
Ac4 0.6666 0.1666 0.6668
Ac5 0.3334 0.8334 0.3332
La1 0.0000 0.0000 0.0000
```

Computed properties:
magnetization	0.00	μB per atom
Fermi-level density of states	0.6348	states/eV/atom
space-group type	C2/m
ΔE_f	-0.773	eV per atom

First-principles (PBE-GGA) data for a relaxed structure of AcLa2Au6, as listed in the Alexandria database.

```
data_AcLa2Au6
_cell_length_a 3.7577
_cell_length_b 8.3553
_cell_length_c 8.3553
_cell_angle_alpha 120.00
_cell_angle_beta 90.00
_cell_angle_gamma 90.00
_space_group_name_H-M_alt 'P 1'
_space_group_IT_number 1
_space_group_name_Hall 'P 1'
loop_
_atom_site_label
_atom_site_fract_x
_atom_site_fract_y
_atom_site_fract_z
Au1 0.5000 0.3348 0.0000
Au2 0.5000 0.6652 0.0000
Au3 0.5000 0.6652 0.6652
Au4 0.5000 0.0000 0.3348
Au5 0.5000 0.0000 0.6652
Au6 0.5000 0.3348 0.3348
La1 0.0000 0.3333 0.6667
La2 0.0000 0.6667 0.3333
Ac1 0.0000 0.0000 0.0000
```

Computed properties:
magnetization	0.00	μB per atom
Fermi-level density of states	0.7429	states/eV/atom
space-group type	P6/mmm
ΔE_f	-0.813	eV per atom

First-principles (PBE-GGA) data for a relaxed structure of Ac2LaAu6, as listed in the Alexandria database.

```
data_Ac2LaAu6
_cell_length_a 3.9826
_cell_length_b 8.8701
_cell_length_c 8.8701
_cell_angle_alpha 52.86
_cell_angle_beta 77.03
_cell_angle_gamma 77.03
_space_group_name_H-M_alt 'P 1'
_space_group_IT_number 1
_space_group_name_Hall 'P 1'
loop_
_atom_site_label
_atom_site_fract_x
_atom_site_fract_y
_atom_site_fract_z
Ac1 0.3568 0.1432 0.1432
Ac2 0.6432 0.8568 0.8568
Au1 0.0000 0.1866 0.8134
Au2 0.1713 0.1478 0.5095
Au3 0.8287 0.4905 0.8522
Au4 0.1713 0.5095 0.1478
Au5 0.8287 0.8522 0.4905
Au6 0.0000 0.8134 0.1866
La1 0.5000 0.5000 0.5000
```

Computed properties:
magnetization	0.00	μB per atom
Fermi-level density of states	0.6433	states/eV/atom
space-group type	Immm
ΔE_f	-0.720	eV per atom